The following is a PBE calculation of a relaxed structure of PrSnGeRh2, from Alexandria via LeMat-Bulk.

The structure in CIF format:
```
data_PrSnGeRh2
_chemical_formula_sum 'Pr1 Sn1 Ge1 Rh2'
_space_group_name_H-M_alt 'P 1'
_space_group_IT_number 1
_cell_length_a 4.3549
_cell_length_b 4.3549
_cell_length_c 6.6002
_cell_angle_alpha 90.00
_cell_angle_beta 90.00
_cell_angle_gamma 90.00
loop_
_space_group_symop_operation_xyz
'x,y,z'
loop_
_atom_site_label
_atom_site_type_symbol
_atom_site_fract_x
_atom_site_fract_y
_atom_site_fract_z
Rh1 Rh 0.5000 0.0000 0.8850
Pr1 Pr 0.0000 0.0000 0.5174
Rh2 Rh 0.0000 0.5000 0.8850
Ge1 Ge 0.0000 0.0000 0.0578
Sn1 Sn 0.5000 0.5000 0.6550
```

Space group: P4mm (99)
Spin magnetization: 0.000 μB/f.u.
Calculated density: 7.14 g/cm³

The following is a PBE calculation of a relaxed structure of PrTh2Ge2Rh7, from Alexandria via LeMat-Bulk.

The structure in CIF format:
```
data_PrTh2Ge2Rh7
_chemical_formula_sum 'Pr1 Th2 Ge2 Rh7'
_space_group_name_H-M_alt 'P 1'
_space_group_IT_number 1
_cell_length_a 4.1921
_cell_length_b 4.1921
_cell_length_c 13.0071
_cell_angle_alpha 85.23
_cell_angle_beta 85.23
_cell_angle_gamma 88.73
loop_
_space_group_symop_operation_xyz
'x,y,z'
loop_
_atom_site_label
_atom_site_type_symbol
_atom_site_fract_x
_atom_site_fract_y
_atom_site_fract_z
Rh1 Rh 0.4595 0.9602 0.1666
Pr1 Pr 0.0000 0.0000 0.0000
Rh2 Rh 0.0398 0.5405 0.8334
Rh3 Rh 0.3244 0.3244 0.4474
Th1 Th 0.0757 0.0757 0.6507
Rh4 Rh 0.6756 0.6756 0.5526
Ge1 Ge 0.5620 0.5620 0.7391
Th2 Th 0.9243 0.9243 0.3493
Rh5 Rh 0.5000 0.5000 0.0000
Ge2 Ge 0.4380 0.4380 0.2609
Rh6 Rh 0.9602 0.4595 0.1666
Rh7 Rh 0.5405 0.0398 0.8334
```

Space group: C2/m (12)
Spin magnetization: 0.000 μB/f.u.
Calculated density: 10.76 g/cm³

The following is a PBE calculation of a relaxed structure of Pr2TiGe3Rh4, from Alexandria via LeMat-Bulk.

The structure in CIF format:
```
data_Pr2TiGe3Rh4
_chemical_formula_sum 'Pr2 Ti1 Ge3 Rh4'
_space_group_name_H-M_alt 'P 1'
_space_group_IT_number 1
_cell_length_a 4.1864
_cell_length_b 4.1864
_cell_length_c 10.6702
_cell_angle_alpha 90.00
_cell_angle_beta 90.00
_cell_angle_gamma 90.00
loop_
_space_group_symop_operation_xyz
'x,y,z'
loop_
_atom_site_label
_atom_site_type_symbol
_atom_site_fract_x
_atom_site_fract_y
_atom_site_fract_z
Rh1 Rh 0.5000 0.0000 0.6375
Pr1 Pr 0.5000 0.0000 0.2439
Ge1 Ge 0.0000 0.5000 0.1272
Ti1 Ti 0.5000 0.5000 0.5000
Pr2 Pr 0.0000 0.5000 0.7561
Rh2 Rh 0.0000 0.0000 0.0000
Ge2 Ge 0.5000 0.0000 0.8728
Rh3 Rh 0.5000 0.5000 0.0000
Ge3 Ge 0.0000 0.0000 0.5000
Rh4 Rh 0.0000 0.5000 0.3625
```

Space group: P-4m2 (115)
Spin magnetization: 0.000 μB/f.u.
Calculated density: 8.52 g/cm³

Quick rundown of DFT formation energy, same order as above: -0.43 -0.70 -0.88 eV/atom